Below is an optimized crystal structure of Re24Mo5, with properties calculated at the PBEsol level.

**ΔE_f**: 0.002 eV/atom
**SG**: I-43m, No. 217

POSCAR file:
```
Re24Mo5
1.0
8.264 0.000 0.000
-2.755 7.792 0.000
-2.755 -3.896 6.748
Mo Re
5 24
Cartesian
0.990 1.400 2.425
-1.765 4.992 0.000
-1.765 -2.496 4.323
5.295 0.000 0.000
0.000 0.000 0.000
1.188 3.937 4.213
3.943 -1.721 5.445
0.561 -1.463 2.535
2.572 -0.752 1.303
3.316 2.432 4.213
-2.937 3.144 5.445
-1.567 2.175 1.303
-1.567 0.041 2.535
1.188 1.680 5.516
3.943 5.576 1.232
2.572 1.504 0.000
0.561 2.927 0.000
2.514 -0.126 4.033
-0.241 4.362 2.125
4.553 -1.568 2.715
1.438 -2.669 4.622
-0.957 2.328 4.033
4.193 1.227 2.125
-2.995 0.466 4.622
-2.995 3.770 2.715
2.514 3.555 1.907
-0.241 -0.340 4.841
1.438 5.337 0.000
4.553 3.135 0.000
```


Below is an optimized crystal structure of ReMo4, with properties calculated at the PBEsol level.

**ΔE_f**: 0.029 eV/atom
**SG**: I4/m, No. 87

POSCAR file:
```
ReMo4
1.0
3.114 0.000 0.000
1.557 4.930 0.000
1.557 0.000 4.930
Re Mo
1 4
Cartesian
0.000 0.000 0.000
3.114 3.955 1.992
3.114 0.974 2.938
4.671 2.938 3.955
1.557 1.992 0.974
```


Below is an optimized crystal structure of ReMoRh2, with properties calculated at the PBEsol level.

**Energy relative to the lowest polymorph listed for this composition**: 0.0 kJ/mol of atoms
**ΔE_f**: -0.231 eV/atom
**SG**: Pmm2, No. 25

POSCAR file:
```
ReMoRh2
1.0
2.701 0.000 0.000
0.000 4.356 0.000
0.000 0.000 4.764
Re Mo Rh
1 1 2
Cartesian
1.350 2.178 0.981
1.350 0.000 2.578
0.000 0.000 0.216
0.000 2.178 3.371
```


Below is an optimized crystal structure of ReMoRh2, with properties calculated at the PBEsol level.

**Energy relative to the lowest polymorph listed for this composition**: 7.9 kJ/mol of atoms
**ΔE_f**: -0.150 eV/atom
**SG**: I4/mmm, No. 139

POSCAR file:
```
ReMoRh2
1.0
-1.603 1.338 -3.176
-1.023 -3.529 -0.971
-2.059 1.552 3.968
Re Mo Rh
1 1 2
Cartesian
0.000 0.000 0.000
-1.313 -1.096 -2.073
-2.488 0.897 -0.641
-2.198 -1.537 0.462
```


Below is an optimized crystal structure of ReMoRh2, with properties calculated at the PBEsol level.

**Energy relative to the lowest polymorph listed for this composition**: 9.4 kJ/mol of atoms
**ΔE_f**: -0.134 eV/atom
**SG**: P4/mmm, No. 123

POSCAR file:
```
ReMoRh2
1.0
2.684 0.000 0.000
0.000 2.684 0.000
0.000 0.000 7.817
Re Mo Rh
1 1 2
Cartesian
1.342 1.342 3.908
1.342 1.342 0.000
0.000 0.000 5.825
0.000 0.000 1.992
```


Below is an optimized crystal structure of ReMoRh2, with properties calculated at the PBEsol level.

**Energy relative to the lowest polymorph listed for this composition**: 8.6 kJ/mol of atoms
**ΔE_f**: -0.142 eV/atom
**SG**: Pmmm, No. 47

POSCAR file:
```
ReMoRh2
1.0
2.686 0.000 0.000
0.000 3.899 0.000
0.000 0.000 5.375
Re Mo Rh
1 1 2
Cartesian
1.343 1.950 2.687
1.343 1.950 0.000
0.000 0.000 4.014
0.000 0.000 1.360
```


Below is an optimized crystal structure of ReMoRh2, with properties calculated at the PBEsol level.

**Energy relative to the lowest polymorph listed for this composition**: 8.3 kJ/mol of atoms
**ΔE_f**: -0.145 eV/atom
**SG**: Cmmm, No. 65

POSCAR file:
```
ReMoRh2
1.0
2.684 0.000 0.000
0.000 4.735 0.001
0.000 -1.687 4.424
Re Mo Rh
1 1 2
Cartesian
1.342 1.524 2.213
1.342 0.000 0.000
0.000 2.368 0.001
0.000 -0.844 2.212
```


Below is an optimized crystal structure of ReMoRh2, with properties calculated at the PBEsol level.

**Energy relative to the lowest polymorph listed for this composition**: 17.3 kJ/mol of atoms
**ΔE_f**: -0.052 eV/atom
**SG**: P2/m, No. 10

POSCAR file:
```
ReMoRh2
1.0
2.709 0.000 0.000
0.000 4.688 -0.001
0.000 -1.563 4.455
Mo Re Rh
1 1 2
Cartesian
1.355 -0.781 2.227
0.000 1.563 2.227
0.000 0.000 0.000
1.355 2.344 -0.001
```